<one>
! DySc2Sn, relaxed, DFT PBE-GGA; values from VASP
! total magnetization: 1.388 μB/cell
&SYSTEM
  ibrav = 0, nat = 4, ntyp = 3
/
ATOMIC_SPECIES
Dy 162.50 Dy.upf
Sc 44.96 Sc.upf
Sn 118.71 Sn.upf
CELL_PARAMETERS angstrom
1.658 0.957 11.213
-1.658 0.957 11.213
0.000 -1.915 11.213
ATOMIC_POSITIONS crystal
Dy 0.000 0.000 0.000
Sc 0.095 0.095 0.095
Sc 0.905 0.905 0.905
Sn 0.500 0.500 0.500

<two>
! DySc2Sn, relaxed, DFT PBE-GGA; values from VASP
! total magnetization: 0.001 μB/cell
&SYSTEM
  ibrav = 0, nat = 8, ntyp = 3
/
ATOMIC_SPECIES
Dy 162.50 Dy.upf
Sc 44.96 Sc.upf
Sn 118.71 Sn.upf
CELL_PARAMETERS angstrom
2.071 -5.883 0.000
2.071 5.883 0.000
0.000 0.000 8.732
ATOMIC_POSITIONS crystal
Dy 0.053 0.947 0.750
Dy 0.947 0.053 0.250
Sc 0.366 0.634 0.553
Sc 0.366 0.634 0.947
Sc 0.634 0.366 0.053
Sc 0.634 0.366 0.447
Sn 0.240 0.760 0.250
Sn 0.760 0.240 0.750

Most stable structure, least stable structure: <two>, <one>.

<one>
! DyScSn, relaxed, DFT PBE-GGA; values from VASP
! total magnetization: 0.000 μB/cell
&SYSTEM
  ibrav = 0, nat = 3, ntyp = 3
/
ATOMIC_SPECIES
Dy 162.50 Dy.upf
Sc 44.96 Sc.upf
Sn 118.71 Sn.upf
CELL_PARAMETERS angstrom
4.941 0.000 0.000
-2.471 4.279 0.000
0.000 0.000 3.754
ATOMIC_POSITIONS crystal
Dy 0.000 0.000 0.000
Sc 0.667 0.333 0.478
Sn 0.333 0.667 0.560

<two>
! DyScSn, relaxed, DFT PBE-GGA; values from VASP
! total magnetization: 0.000 μB/cell
&SYSTEM
  ibrav = 0, nat = 3, ntyp = 3
/
ATOMIC_SPECIES
Dy 162.50 Dy.upf
Sc 44.96 Sc.upf
Sn 118.71 Sn.upf
CELL_PARAMETERS angstrom
4.843 0.000 0.000
-2.422 4.195 0.000
0.000 0.000 5.646
ATOMIC_POSITIONS crystal
Dy 0.000 0.000 0.000
Sc 0.000 0.000 0.500
Sn 0.667 0.333 0.500

Most stable structure, least stable structure: <one>, <two>.

<one>
! SrDy2Sc, relaxed, DFT PBE-GGA; values from VASP
! total magnetization: 0.000 μB/cell
&SYSTEM
  ibrav = 0, nat = 4, ntyp = 3
/
ATOMIC_SPECIES
Sr 87.62 Sr.upf
Dy 162.50 Dy.upf
Sc 44.96 Sc.upf
CELL_PARAMETERS angstrom
3.885 0.000 0.000
0.000 3.885 0.000
0.000 0.000 9.189
ATOMIC_POSITIONS crystal
Sr 0.000 0.000 0.000
Dy 0.500 0.500 0.307
Dy 0.500 0.500 0.693
Sc 0.000 0.000 0.500

<two>
! SrDy2Sc, relaxed, DFT PBE-GGA; values from VASP
! total magnetization: 0.000 μB/cell
&SYSTEM
  ibrav = 0, nat = 4, ntyp = 3
/
ATOMIC_SPECIES
Sr 87.62 Sr.upf
Dy 162.50 Dy.upf
Sc 44.96 Sc.upf
CELL_PARAMETERS angstrom
1.772 1.023 12.434
-1.772 1.023 12.434
0.000 -2.046 12.434
ATOMIC_POSITIONS crystal
Sr 0.000 0.000 0.000
Dy 0.096 0.096 0.096
Dy 0.904 0.904 0.904
Sc 0.500 0.500 0.500

Most stable structure, least stable structure: <one>, <two>.

<one>
! Tb3DySc, relaxed, DFT PBE-GGA; values from VASP
! total magnetization: 0.000 μB/cell
&SYSTEM
  ibrav = 0, nat = 10, ntyp = 3
/
ATOMIC_SPECIES
Tb 158.93 Tb.upf
Dy 162.50 Dy.upf
Sc 44.96 Sc.upf
CELL_PARAMETERS angstrom
6.186 0.000 0.000
0.000 5.554 0.000
-3.081 0.000 8.927
ATOMIC_POSITIONS crystal
Tb 0.139 0.250 0.097
Tb 0.273 0.750 0.709
Tb 0.334 0.250 0.503
Tb 0.666 0.750 0.497
Tb 0.727 0.250 0.291
Tb 0.861 0.750 0.903
Dy 0.066 0.750 0.298
Dy 0.934 0.250 0.702
Sc 0.465 0.750 0.096
Sc 0.535 0.250 0.904

<two>
! Tb3DySc, relaxed, DFT PBE-GGA; values from VASP
! total magnetization: 0.000 μB/cell
&SYSTEM
  ibrav = 0, nat = 20, ntyp = 3
/
ATOMIC_SPECIES
Tb 158.93 Tb.upf
Dy 162.50 Dy.upf
Sc 44.96 Sc.upf
CELL_PARAMETERS angstrom
3.488 0.000 0.000
0.000 17.165 0.000
0.000 0.000 10.520
ATOMIC_POSITIONS crystal
Tb 0.246 0.250 0.000
Tb 0.246 0.250 0.500
Tb 0.252 0.577 0.060
Tb 0.252 0.577 0.440
Tb 0.252 0.923 0.560
Tb 0.252 0.923 0.940
Tb 0.748 0.077 0.060
Tb 0.748 0.077 0.440
Tb 0.748 0.423 0.560
Tb 0.748 0.423 0.940
Tb 0.754 0.750 0.000
Tb 0.754 0.750 0.500
Dy 0.244 0.103 0.750
Dy 0.244 0.397 0.250
Dy 0.756 0.603 0.750
Dy 0.756 0.897 0.250
Sc 0.256 0.727 0.250
Sc 0.256 0.773 0.750
Sc 0.744 0.227 0.250
Sc 0.744 0.273 0.750

Most stable structure, least stable structure: <one>, <two>.

<one>
! Tb6Dy3Sc2, relaxed, DFT PBE-GGA; values from VASP
! total magnetization: 0.001 μB/cell
&SYSTEM
  ibrav = 0, nat = 11, ntyp = 3
/
ATOMIC_SPECIES
Tb 158.93 Tb.upf
Dy 162.50 Dy.upf
Sc 44.96 Sc.upf
CELL_PARAMETERS angstrom
3.045 -5.277 0.000
3.045 5.277 0.000
-2.054 0.000 11.013
ATOMIC_POSITIONS crystal
Tb 0.087 0.421 0.762
Tb 0.245 0.245 0.238
Tb 0.421 0.087 0.762
Tb 0.579 0.913 0.238
Tb 0.755 0.755 0.762
Tb 0.913 0.579 0.238
Dy 0.000 0.000 0.500
Dy 0.334 0.666 0.500
Dy 0.666 0.334 0.500
Sc 0.166 0.834 0.000
Sc 0.834 0.166 0.000

<two>
! Tb6Dy3Sc2, relaxed, DFT PBE-GGA; values from VASP
! total magnetization: 0.002 μB/cell
&SYSTEM
  ibrav = 0, nat = 11, ntyp = 3
/
ATOMIC_SPECIES
Tb 158.93 Tb.upf
Dy 162.50 Dy.upf
Sc 44.96 Sc.upf
CELL_PARAMETERS angstrom
-2.352 2.352 15.986
2.352 -2.352 15.986
2.352 2.352 -15.986
ATOMIC_POSITIONS crystal
Tb 0.116 0.616 0.500
Tb 0.195 0.195 0.000
Tb 0.384 0.884 0.500
Tb 0.616 0.116 0.500
Tb 0.805 0.805 0.000
Tb 0.884 0.384 0.500
Dy 0.302 0.302 0.000
Dy 0.500 0.500 0.000
Dy 0.698 0.698 0.000
Sc 0.043 0.043 0.000
Sc 0.957 0.957 0.000

Most stable structure, least stable structure: <one>, <two>.

<one>
! Tb4DySc2, relaxed, DFT PBE-GGA; values from VASP
! total magnetization: 0.000 μB/cell
&SYSTEM
  ibrav = 0, nat = 14, ntyp = 3
/
ATOMIC_SPECIES
Tb 158.93 Tb.upf
Dy 162.50 Dy.upf
Sc 44.96 Sc.upf
CELL_PARAMETERS angstrom
5.357 -5.357 0.000
5.357 5.357 0.000
-0.007 0.000 7.768
ATOMIC_POSITIONS crystal
Tb 0.241 0.758 0.732
Tb 0.242 0.242 0.268
Tb 0.242 0.242 0.732
Tb 0.242 0.759 0.268
Tb 0.758 0.241 0.732
Tb 0.758 0.758 0.268
Tb 0.758 0.758 0.732
Tb 0.759 0.242 0.268
Dy 0.500 0.500 0.000
Dy 0.500 0.500 0.500
Sc 0.000 0.000 0.000
Sc 0.000 0.000 0.500
Sc 0.000 0.500 0.000
Sc 0.500 0.000 0.000

<two>
! Tb4DySc2, relaxed, DFT PBE-GGA; values from VASP
! total magnetization: 0.004 μB/cell
&SYSTEM
  ibrav = 0, nat = 14, ntyp = 3
/
ATOMIC_SPECIES
Tb 158.93 Tb.upf
Dy 162.50 Dy.upf
Sc 44.96 Sc.upf
CELL_PARAMETERS angstrom
5.453 0.000 0.000
0.000 6.788 0.000
-2.732 0.000 11.323
ATOMIC_POSITIONS crystal
Tb 0.073 0.250 0.150
Tb 0.215 0.750 0.432
Tb 0.354 0.501 0.709
Tb 0.354 0.999 0.709
Tb 0.646 0.001 0.291
Tb 0.646 0.499 0.291
Tb 0.785 0.250 0.568
Tb 0.927 0.750 0.850
Dy 0.075 0.750 0.145
Dy 0.925 0.250 0.855
Sc 0.215 0.250 0.427
Sc 0.498 0.250 0.003
Sc 0.502 0.750 0.997
Sc 0.785 0.750 0.573

Most stable structure, least stable structure: <two>, <one>.

<one>
! Tb3Dy6Sc, relaxed, DFT PBE-GGA; values from VASP
! total magnetization: 0.005 μB/cell
&SYSTEM
  ibrav = 0, nat = 10, ntyp = 3
/
ATOMIC_SPECIES
Tb 158.93 Tb.upf
Dy 162.50 Dy.upf
Sc 44.96 Sc.upf
CELL_PARAMETERS angstrom
4.866 2.809 3.863
-4.866 2.809 3.863
0.000 -5.619 3.863
ATOMIC_POSITIONS crystal
Tb 0.000 0.000 0.000
Tb 0.249 0.249 0.249
Tb 0.742 0.742 0.742
Dy 0.081 0.731 0.408
Dy 0.245 0.575 0.901
Dy 0.408 0.081 0.731
Dy 0.575 0.901 0.245
Dy 0.731 0.408 0.081
Dy 0.901 0.245 0.575
Sc 0.497 0.497 0.497

<two>
! Tb3Dy6Sc, relaxed, DFT PBE-GGA; values from VASP
! total magnetization: 0.004 μB/cell
&SYSTEM
  ibrav = 0, nat = 20, ntyp = 3
/
ATOMIC_SPECIES
Tb 158.93 Tb.upf
Dy 162.50 Dy.upf
Sc 44.96 Sc.upf
CELL_PARAMETERS angstrom
5.429 -9.419 0.000
5.429 9.419 0.000
0.000 0.000 6.160
ATOMIC_POSITIONS crystal
Tb 0.112 0.888 0.500
Tb 0.223 0.445 0.113
Tb 0.445 0.223 0.613
Tb 0.555 0.777 0.113
Tb 0.777 0.555 0.613
Tb 0.888 0.112 0.000
Dy 0.033 0.453 0.710
Dy 0.119 0.211 0.528
Dy 0.211 0.119 0.028
Dy 0.222 0.778 0.927
Dy 0.453 0.033 0.210
Dy 0.453 0.547 0.650
Dy 0.547 0.453 0.150
Dy 0.547 0.967 0.710
Dy 0.778 0.222 0.427
Dy 0.789 0.881 0.528
Dy 0.881 0.789 0.028
Dy 0.967 0.547 0.210
Sc 0.295 0.705 0.438
Sc 0.705 0.295 0.938

Most stable structure, least stable structure: <two>, <one>.

<one>
! Tb7DySc4, relaxed, DFT PBE-GGA; values from VASP
! total magnetization: 0.000 μB/cell
&SYSTEM
  ibrav = 0, nat = 12, ntyp = 3
/
ATOMIC_SPECIES
Tb 158.93 Tb.upf
Dy 162.50 Dy.upf
Sc 44.96 Sc.upf
CELL_PARAMETERS angstrom
6.047 0.000 0.000
0.005 6.974 0.000
2.023 0.005 8.334
ATOMIC_POSITIONS crystal
Tb 0.000 0.000 0.000
Tb 0.223 0.500 0.337
Tb 0.285 0.756 0.660
Tb 0.497 0.245 0.994
Tb 0.503 0.755 0.006
Tb 0.715 0.244 0.340
Tb 0.777 0.500 0.663
Dy 0.000 0.500 0.000
Sc 0.216 0.000 0.340
Sc 0.275 0.244 0.663
Sc 0.725 0.756 0.337
Sc 0.784 0.000 0.660

<two>
! Tb7DySc4, relaxed, DFT PBE-GGA; values from VASP
! total magnetization: 0.437 μB/cell
&SYSTEM
  ibrav = 0, nat = 12, ntyp = 3
/
ATOMIC_SPECIES
Tb 158.93 Tb.upf
Dy 162.50 Dy.upf
Sc 44.96 Sc.upf
CELL_PARAMETERS angstrom
7.736 -2.874 0.000
7.736 2.874 0.000
-4.791 0.000 8.093
ATOMIC_POSITIONS crystal
Tb 0.000 0.000 0.000
Tb 0.260 0.260 0.725
Tb 0.291 0.291 0.117
Tb 0.411 0.411 0.553
Tb 0.589 0.589 0.447
Tb 0.709 0.709 0.883
Tb 0.740 0.740 0.275
Dy 0.500 0.500 0.000
Sc 0.056 0.056 0.701
Sc 0.166 0.166 0.349
Sc 0.834 0.834 0.651
Sc 0.944 0.944 0.299

Most stable structure, least stable structure: <one>, <two>.

<one>
! Tb2Dy5Sc, relaxed, DFT PBE-GGA; values from VASP
! total magnetization: 0.000 μB/cell
&SYSTEM
  ibrav = 0, nat = 16, ntyp = 3
/
ATOMIC_SPECIES
Tb 158.93 Tb.upf
Dy 162.50 Dy.upf
Sc 44.96 Sc.upf
CELL_PARAMETERS angstrom
7.027 0.000 0.000
0.000 14.064 0.000
0.000 0.000 4.957
ATOMIC_POSITIONS crystal
Tb 0.248 0.124 0.000
Tb 0.252 0.624 0.000
Tb 0.748 0.376 0.000
Tb 0.752 0.876 0.000
Dy 0.000 0.500 0.500
Dy 0.001 0.752 0.500
Dy 0.249 0.876 0.000
Dy 0.251 0.376 0.000
Dy 0.499 0.252 0.500
Dy 0.500 0.000 0.500
Dy 0.501 0.748 0.500
Dy 0.749 0.624 0.000
Dy 0.751 0.124 0.000
Dy 0.999 0.248 0.500
Sc 0.000 0.000 0.500
Sc 0.500 0.500 0.500

<two>
! Tb2Dy5Sc, relaxed, DFT PBE-GGA; values from VASP
! total magnetization: 0.001 μB/cell
&SYSTEM
  ibrav = 0, nat = 8, ntyp = 3
/
ATOMIC_SPECIES
Tb 158.93 Tb.upf
Dy 162.50 Dy.upf
Sc 44.96 Sc.upf
CELL_PARAMETERS angstrom
0.000 5.593 6.208
3.583 0.000 6.208
3.583 5.593 0.000
ATOMIC_POSITIONS crystal
Tb 0.245 0.755 0.245
Tb 0.755 0.245 0.755
Dy 0.169 0.663 0.831
Dy 0.248 0.248 0.252
Dy 0.663 0.169 0.337
Dy 0.664 0.664 0.336
Dy 0.748 0.748 0.752
Sc 0.165 0.165 0.835

Most stable structure, least stable structure: <two>, <one>.

<one>
! Tb2DySc4, relaxed, DFT PBE-GGA; values from VASP
! total magnetization: 0.000 μB/cell
&SYSTEM
  ibrav = 0, nat = 7, ntyp = 3
/
ATOMIC_SPECIES
Tb 158.93 Tb.upf
Dy 162.50 Dy.upf
Sc 44.96 Sc.upf
CELL_PARAMETERS angstrom
1.812 -10.490 0.000
1.812 10.490 0.000
0.000 0.000 5.237
ATOMIC_POSITIONS crystal
Tb 0.074 0.926 0.000
Tb 0.926 0.074 0.000
Dy 0.500 0.500 0.500
Sc 0.181 0.819 0.500
Sc 0.303 0.697 0.000
Sc 0.697 0.303 0.000
Sc 0.819 0.181 0.500

<two>
! Tb2DySc4, relaxed, DFT PBE-GGA; values from VASP
! total magnetization: 2.510 μB/cell
&SYSTEM
  ibrav = 0, nat = 7, ntyp = 3
/
ATOMIC_SPECIES
Tb 158.93 Tb.upf
Dy 162.50 Dy.upf
Sc 44.96 Sc.upf
CELL_PARAMETERS angstrom
-4.014 4.014 3.129
4.014 -4.014 3.129
4.014 4.014 -3.129
ATOMIC_POSITIONS crystal
Tb 0.250 0.750 0.500
Tb 0.750 0.250 0.500
Dy 0.000 0.000 0.000
Sc 0.307 0.307 0.615
Sc 0.307 0.693 0.000
Sc 0.693 0.307 0.000
Sc 0.693 0.693 0.385

Most stable structure, least stable structure: <one>, <two>.

<one>
! Tb2DySc7, relaxed, DFT PBE-GGA; values from VASP
! total magnetization: 0.000 μB/cell
&SYSTEM
  ibrav = 0, nat = 10, ntyp = 3
/
ATOMIC_SPECIES
Tb 158.93 Tb.upf
Dy 162.50 Dy.upf
Sc 44.96 Sc.upf
CELL_PARAMETERS angstrom
-1.738 5.383 7.827
1.738 -5.383 7.827
1.738 5.383 -7.827
ATOMIC_POSITIONS crystal
Tb 0.183 0.183 0.000
Tb 0.817 0.817 0.000
Dy 0.000 0.500 0.500
Sc 0.100 0.342 0.757
Sc 0.344 0.844 0.500
Sc 0.415 0.658 0.757
Sc 0.500 0.500 0.000
Sc 0.585 0.342 0.243
Sc 0.656 0.156 0.500
Sc 0.900 0.658 0.243

<two>
! Tb2DySc7, relaxed, DFT PBE-GGA; values from VASP
! total magnetization: 0.016 μB/cell
&SYSTEM
  ibrav = 0, nat = 10, ntyp = 3
/
ATOMIC_SPECIES
Tb 158.93 Tb.upf
Dy 162.50 Dy.upf
Sc 44.96 Sc.upf
CELL_PARAMETERS angstrom
3.022 -13.574 0.000
3.022 13.574 0.000
0.000 0.000 3.322
ATOMIC_POSITIONS crystal
Tb 0.211 0.789 0.000
Tb 0.789 0.211 0.000
Dy 0.500 0.500 0.500
Sc 0.000 0.000 0.000
Sc 0.155 0.352 0.000
Sc 0.318 0.682 0.500
Sc 0.352 0.155 0.000
Sc 0.648 0.845 0.000
Sc 0.682 0.318 0.500
Sc 0.845 0.648 0.000

Most stable structure, least stable structure: <two>, <one>.